Entry from the Alexandria database: crystalline Cr2CuHRu at its relaxed geometry (GGA-PBE).

POSCAR file:
```
Cr2CuHRu
1.0
-3.262 1.306 1.167
-1.314 -3.456 0.193
1.183 -0.250 3.588
Ru H Cu Cr
1 1 1 2
direct
0.000 0.000 0.500
0.000 0.000 0.000
0.500 0.500 0.500
0.000 0.500 0.000
0.500 0.000 0.000
```

Summary:
Space group   P4/mmm (123)
Crystal system   tetragonal
Total magnetic moment   1.0 μB/cell

***

Entry from the Alexandria database: crystalline Sc2CrCuH at its relaxed geometry (GGA-PBE).

POSCAR file:
```
Sc2CrCuH
1.0
4.542 0.000 0.000
0.000 4.542 0.000
0.000 0.000 3.508
Sc Cr Cu H
2 1 1 1
direct
0.000 0.500 0.000
0.500 0.000 0.000
0.000 0.000 0.500
0.500 0.500 0.500
0.000 0.000 0.000
```

Summary:
Space group   P4/mmm (123)
Crystal system   tetragonal
Total magnetic moment   2.4 μB/cell

***

Entry from the Alexandria database: crystalline Sr2CrCuH at its relaxed geometry (GGA-PBE).

POSCAR file:
```
Sr2CrCuH
1.0
-3.561 3.622 -1.813
-2.975 -2.391 1.068
-0.118 2.320 4.867
Sr H Cu Cr
2 1 1 1
direct
0.000 0.000 0.500
0.500 0.000 0.000
0.000 0.000 0.000
0.500 0.500 0.500
0.000 0.500 0.000
```

Summary:
Space group   P4/mmm (123)
Crystal system   tetragonal
Total magnetic moment   4.3 μB/cell

***

Entry from the Alexandria database: crystalline Ta2CrCuH at its relaxed geometry (GGA-PBE).

POSCAR file:
```
Ta2CrCuH
1.0
-2.077 -3.745 0.222
3.752 -2.074 0.109
0.010 0.196 3.387
Cr H Cu Ta
1 1 1 2
direct
0.500 0.500 0.500
0.000 0.000 0.000
0.000 0.000 0.500
0.000 0.500 0.000
0.500 0.000 0.000
```

Summary:
Space group   P4/mmm (123)
Crystal system   tetragonal
Total magnetic moment   0.0 μB/cell

***

Entry from the Alexandria database: crystalline Ta2CrCuH at its relaxed geometry (GGA-PBE).

POSCAR file:
```
Ta2CrCuH
1.0
4.234 0.000 0.000
0.000 4.234 0.000
0.000 0.000 3.488
Cr H Cu Ta
1 1 1 2
direct
0.000 0.000 0.500
0.000 0.000 0.000
0.500 0.500 0.500
0.000 0.500 0.000
0.500 0.000 0.000
```

Summary:
Space group   P4/mmm (123)
Crystal system   tetragonal
Total magnetic moment   0.1 μB/cell

***

Entry from the Alexandria database: crystalline CrCuTc2H at its relaxed geometry (GGA-PBE).

POSCAR file:
```
CrCuTc2H
1.0
-3.559 -1.448 -0.510
0.116 -1.537 3.556
-1.469 3.119 1.396
Cr Tc Cu H
1 2 1 1
direct
0.000 0.000 0.500
0.000 0.500 0.000
0.500 0.000 0.000
0.500 0.500 0.500
0.000 0.000 0.000
```

Summary:
Space group   P4/mmm (123)
Crystal system   tetragonal
Total magnetic moment   0.8 μB/cell

***

Entry from the Alexandria database: crystalline Ti2CrCuH at its relaxed geometry (GGA-PBE).

POSCAR file:
```
Ti2CrCuH
1.0
4.190 0.000 0.000
0.000 4.190 0.000
0.000 0.000 3.357
Cr H Cu Ti
1 1 1 2
direct
0.000 0.000 0.500
0.000 0.000 0.000
0.500 0.500 0.500
0.000 0.500 0.000
0.500 0.000 0.000
```

Summary:
Space group   P4/mmm (123)
Crystal system   tetragonal
Total magnetic moment   0.0 μB/cell

***

Entry from the Alexandria database: crystalline Ti2CrCuH at its relaxed geometry (GGA-PBE).

POSCAR file:
```
Ti2CrCuH
1.0
-2.966 0.051 3.221
1.969 -3.436 1.868
2.632 2.803 2.380
Cr H Cu Ti
1 1 1 2
direct
0.000 0.000 0.000
0.500 0.500 0.500
0.000 0.000 0.500
0.000 0.500 0.000
0.500 0.000 0.000
```

Summary:
Space group   P4/mmm (123)
Crystal system   tetragonal
Total magnetic moment   0.0 μB/cell

***

no.,E (eV per atom)
1,-6.99
2,-6.02
3,-3.90
4,-8.05
5,-8.08
6,-7.37
7,-6.66
8,-5.37